Entry 1:
Below is a crystal of SbRuRh3 relaxed with PBEsol, with properties calculated at the SCAN level.

The calculation puts the magnetic moment at 0.0 μB per cell. For the final energy, the calculation gives -33.507 eV per atom. For the formation energy from raw total energies, the calculation gives 1.174 eV per atom.

The space group is Pm-3m (No. 221) and the conventional cell measures 4.598, 4.598 and 4.598 Å, with angles of 90.00, 90.00 and 90.00 degrees. The distinct sites, in fractional coordinates, are Sb at (0.000, 0.000, 0.000), Ru at (0.500, 0.500, 0.500) and Rh at (0.000, 0.500, 0.500).

---

Entry 2:
Below is a crystal of Sc2RuRh relaxed with PBEsol, with properties calculated at the SCAN level.

The calculation puts the magnetic moment at 0.0 μB per cell. For the formation energy, the calculation gives -0.938 eV per atom. For the final energy, the calculation gives -25.205 eV per atom.

The space group is Fm-3m (No. 225) and the conventional cell measures 6.339, 6.339 and 6.339 Å, with angles of 90.00, 90.00 and 90.00 degrees. The distinct sites, in fractional coordinates, are Sc at (0.250, 0.250, 0.250), Ru at (0.000, 0.000, 0.000) and Rh at (0.000, 0.000, 0.500).

---

Entry 3:
Below is a crystal of ScRuRh2 relaxed with PBEsol, with properties calculated at the SCAN level.

The calculation puts the magnetic moment at 13.9 μB per cell. For the formation energy, the calculation gives -0.290 eV per atom. For the final energy, the calculation gives -29.442 eV per atom.

The space group is Fm-3m (No. 225) and the conventional cell measures 6.217, 6.217 and 6.217 Å, with angles of 90.00, 90.00 and 90.00 degrees. The distinct sites, in fractional coordinates, are Sc at (0.000, 0.000, 0.000), Ru at (0.000, 0.000, 0.500) and Rh at (0.250, 0.250, 0.250).

---

Entry 4:
Below is a crystal of Sc2RuRh relaxed with PBEsol, with properties calculated at the SCAN level.

The calculation puts the magnetic moment at 0.0 μB per cell. For the formation energy, the calculation gives -0.481 eV per atom. For the final energy, the calculation gives -24.749 eV per atom.

The space group is R-3m (No. 166, hexagonal axes) and the conventional cell measures 3.0839, 3.0839 and 24.0071 Å, with angles of 90.00, 90.00 and 120.00 degrees. The distinct sites, in fractional coordinates, are Sc at (0.0000, 0.0000, 0.2492), Ru at (0.0000, 0.0000, 0.5000) and Rh at (0.0000, 0.0000, 0.0000).

---

Entry 5:
Below is a crystal of Sc2RuRh relaxed with PBEsol, with properties calculated at the SCAN level.

The calculation puts the magnetic moment at 0.0 μB per cell. For the formation energy, the calculation gives -0.934 eV per atom. For the final energy, the calculation gives -25.202 eV per atom.

The space group is P4/mmm (No. 123) and the conventional cell measures 3.171, 3.171 and 6.336 Å, with angles of 90.00, 90.00 and 90.00 degrees. The distinct sites, in fractional coordinates, are Sc at (0.000, 0.000, 0.246), Ru at (0.500, 0.500, 0.000) and Rh at (0.500, 0.500, 0.500).

---

Entry 6:
Below is a crystal of ScRuRh2 relaxed with PBEsol, with properties calculated at the SCAN level.

The calculation puts the magnetic moment at 0.0 μB per cell. For the formation energy, the calculation gives -0.388 eV per atom. For the final energy, the calculation gives -29.540 eV per atom.

The space group is Cm (No. 8) and the conventional cell measures 9.033, 2.793 and 4.729 Å, with angles of 90.00, 100.82 and 90.00 degrees. The distinct sites, in fractional coordinates, are Sc at (0.000, 0.000, 0.000), Ru at (0.243, 0.000, 0.697), Rh at (0.001, 0.500, 0.510) and Rh at (0.253, 0.500, 0.234).

---

Entry 7:
Below is a crystal of Ru2RhSe relaxed with PBEsol, with properties calculated at the SCAN level.

The calculation puts the magnetic moment at 0.0 μB per cell. For the final energy, the calculation gives -30.616 eV per atom. For the formation energy from raw total energies, the calculation gives 0.259 eV per atom.

The space group is R3m (No. 160, hexagonal axes) and the conventional cell measures 2.7911, 2.7911 and 24.8984 Å, with angles of 90.00, 90.00 and 120.00 degrees. The distinct sites, in fractional coordinates, are Ru at (0.0000, 0.0000, 0.0000), Ru at (0.0000, 0.0000, 0.2498), Rh at (0.0000, 0.0000, 0.7533) and Se at (0.0000, 0.0000, 0.5032).

---

Entry 8:
Below is a crystal of RuRh2Se relaxed with PBEsol, with properties calculated at the SCAN level.

The calculation puts the magnetic moment at 0.0 μB per cell. For the final energy, the calculation gives -30.380 eV per atom. For the formation energy from raw total energies, the calculation gives 0.232 eV per atom.

The space group is R3m (No. 160, hexagonal axes) and the conventional cell measures 2.8107, 2.8107 and 24.7639 Å, with angles of 90.00, 90.00 and 120.00 degrees. The distinct sites, in fractional coordinates, are Ru at (0.0000, 0.0000, 0.0000), Rh at (0.0000, 0.0000, 0.2481), Rh at (0.0000, 0.0000, 0.4936) and Se at (0.0000, 0.0000, 0.7448).